Entry 1:
5
Lattice="4.8360 0.0000 0.0000 0.0000 4.8360 0.0000 0.0000 0.0000 4.8360" Properties=species:S:1:pos:R:3 comment="Hf3TcB SCAN PBEsol geometry" final_energy_ev_per_atom=-44.82 pbc="T T T"
Hf 0.0000 0.0000 2.4180
Hf 2.4180 0.0000 0.0000
Hf 0.0000 2.4180 0.0000
Tc 0.0000 0.0000 0.0000
B 2.4180 2.4180 2.4180

Entry 2:
10
Lattice="-0.1923 -2.4738 -2.2421 -1.1544 -4.0072 4.5204 -6.0305 1.0339 -0.6235" Properties=species:S:1:pos:R:3 comment="Hf2TcB2 SCAN PBEsol geometry" final_energy_ev_per_atom=-35.92 pbc="T T T"
Hf -1.5669 -2.3167 0.1965
Hf -2.9491 -4.1823 2.3734
Hf -4.4281 -1.2648 -0.7187
Hf -5.8103 -3.1304 1.4583
B -4.6821 -2.9605 3.6680
B -1.3323 -2.3161 2.6697
B -2.5028 -0.0129 0.2289
B -5.8526 -0.6572 1.2271
Tc -3.5924 -1.4867 1.9484
Tc 0.0000 0.0000 0.0000

Entry 3:
5
Lattice="-0.6377 0.1691 -4.0842 -0.0391 -4.1337 -0.1650 -4.0875 0.0132 0.6388" Properties=species:S:1:pos:R:3 comment="HfTcB3 SCAN PBEsol geometry" e_above_lowest_polymorph_mev_per_atom=1411 pbc="T T T"
Hf 0.0000 0.0000 0.0000
Tc -2.3822 -1.9757 -1.8052
B -0.0196 -2.0668 -0.0825
B -2.0438 0.0066 0.3194
B -0.3189 0.0846 -2.0421

Entry 4:
8
Lattice="3.7670 0.0000 0.0000 0.0000 3.7670 0.0000 -1.8835 -1.8835 7.5016" Properties=species:S:1:pos:R:3 comment="HfTcB2 SCAN PBEsol geometry" final_energy_ev_per_atom=-28.05 pbc="T T T"
Hf 0.0000 0.0000 0.0000
Hf 0.0000 1.8835 3.7508
B -0.9417 -0.0006 5.6262
B 1.8841 0.9417 1.8754
B 1.8829 2.8252 1.8754
B 0.9417 0.0006 5.6262
Tc 1.8835 0.0000 3.7508
Tc 1.8835 1.8835 0.0000

Entry 5:
8
Lattice="-2.5925 1.9842 3.6214 -4.6785 -2.6852 1.4042 1.2697 -1.7362 5.1424" Properties=species:S:1:pos:R:3 comment="HfTi2B SCAN PBEsol geometry" final_energy_ev_per_atom=-25.42 pbc="T T T"
Ti -1.0410 -0.0635 5.0335
Ti -4.3122 -2.8698 4.2292
Ti -3.7425 -1.4072 8.7591
Ti -2.9070 -0.5340 2.3143
B -1.2962 0.9921 1.8107
B -2.3525 -1.7147 4.1787
Hf -3.6488 -0.7226 5.9894
Hf 0.0000 0.0000 0.0000

Entry 6:
10
Lattice="-2.3594 -2.0099 1.4064 3.1132 0.1393 5.4220 -3.2594 5.0450 1.7418" Properties=species:S:1:pos:R:3 comment="Hf2TiB2 SCAN PBEsol geometry" final_energy_ev_per_atom=-31.85 pbc="T T T"
B 0.8289 3.1657 5.9149
B -1.6878 4.5821 3.7169
B 1.5416 0.6022 3.4469
B -0.9751 2.0186 1.2489
Ti -0.0731 2.5922 3.5819
Ti 0.0000 0.0000 0.0000
Hf -0.7786 -0.0458 2.7469
Hf -1.7270 3.2202 5.8233
Hf 0.3303 0.7169 5.6971
Hf -2.8359 2.4576 2.8730

Which formula does entry 2 have? Hf2TcB2

What did the third record say?
5
Lattice="-0.6377 0.1691 -4.0842 -0.0391 -4.1337 -0.1650 -4.0875 0.0132 0.6388" Properties=species:S:1:pos:R:3 comment="HfTcB3 SCAN PBEsol geometry" e_above_lowest_polymorph_mev_per_atom=1411 pbc="T T T"
Hf 0.0000 0.0000 0.0000
Tc -2.3822 -1.9757 -1.8052
B -0.0196 -2.0668 -0.0825
B -2.0438 0.0066 0.3194
B -0.3189 0.0846 -2.0421